# Nd3SmYTm, optimized geometry, DFT PBE
data_Nd3SmYTm
_chemical_formula_sum 'Nd12 Sm4 Y4 Tm4'
_space_group_name_H-M_alt 'C m c m'
_space_group_IT_number 63
_space_group_name_Hall '-C 2c 2'
_cell_length_a 6.005
_cell_length_b 11.238
_cell_length_c 11.976
_cell_angle_alpha 90.00
_cell_angle_beta 90.00
_cell_angle_gamma 90.00
loop_
_atom_site_label
_atom_site_type_symbol
_atom_site_fract_x
_atom_site_fract_y
_atom_site_fract_z
Nd1 Nd 0.000 0.163 0.007
Nd2 Nd 0.000 0.334 0.750
Sm1 Sm 0.000 0.500 0.000
Y1 Y 0.000 0.341 0.250
Tm1 Tm 0.000 0.008 0.750
# **E_form**: 11.0 kJ per mole of atoms

=====

# MgSb3Pd12, optimized geometry, DFT PBE
data_MgSb3Pd12
_chemical_formula_sum 'Mg1 Sb3 Pd12'
_space_group_name_H-M_alt 'P 4/m m m'
_space_group_IT_number 123
_space_group_name_Hall '-P 4 2'
_cell_length_a 4.032
_cell_length_b 4.032
_cell_length_c 16.128
_cell_angle_alpha 90.00
_cell_angle_beta 90.00
_cell_angle_gamma 90.00
loop_
_atom_site_label
_atom_site_type_symbol
_atom_site_fract_x
_atom_site_fract_y
_atom_site_fract_z
Mg1 Mg 0.000 0.000 0.000
Sb1 Sb 0.000 0.000 0.240
Sb2 Sb 0.000 0.000 0.500
Pd1 Pd 0.000 0.500 0.123
Pd2 Pd 0.000 0.500 0.375
Pd3 Pd 0.500 0.500 0.000
Pd4 Pd 0.500 0.500 0.252
Pd5 Pd 0.500 0.500 0.500
# **ΔE_f (raw)**: -0.4279 eV per atom

=====

# NbV2, optimized geometry, DFT PBE
data_NbV2
_chemical_formula_sum 'Nb2 V4'
_space_group_name_H-M_alt 'C 1 2/m 1'
_space_group_IT_number 12
_cell_length_a 7.549
_cell_length_b 4.435
_cell_length_c 2.722
_cell_angle_alpha 90.00
_cell_angle_beta 90.60
_cell_angle_gamma 90.00
loop_
_space_group_symop_operation_xyz
'x,y,z'
'-x,-y,-z'
'-x,y,-z'
'x,-y,z'
'x+1/2,y+1/2,z'
'-x+1/2,-y+1/2,-z'
'-x+1/2,y+1/2,-z'
'x+1/2,-y+1/2,z'
loop_
_atom_site_label
_atom_site_type_symbol
_atom_site_fract_x
_atom_site_fract_y
_atom_site_fract_z
Nb1 Nb 0.000 0.000 0.000
V1 V 0.166 0.500 0.669
# **E_form**: 6.1 kJ per mole of atoms

=====

Uncorrected energy per entry: -4.88, -5.20, -9.37 eV per atom